ThPaNi10 | the Alexandria database | PBE | optimized geometry; formation energy = -0.40 eV per atom
1.0
4.0027 0.0000 0.0000
0.0000 4.8840 0.0000
0.0000 0.0000 8.4568
Th Pa Ni
1 1 10
Cartesian
0.0000 0.0000 0.0000
0.0000 2.4420 4.2284
0.0000 0.0000 2.8708
0.0000 0.0000 5.5860
0.0000 2.4420 1.4852
0.0000 2.4420 6.9716
2.0013 0.0000 4.2284
2.0013 1.2345 2.1549
2.0013 1.2345 6.3018
2.0013 2.4420 0.0000
2.0013 3.6496 2.1549
2.0013 3.6496 6.3018

Sr2Mg3Au4 | the Alexandria database | PBE | optimized geometry; formation energy = -0.62 eV per atom
1.0
3.1871 -8.2150 0.0000
3.1871 8.2150 0.0000
0.0000 0.0000 8.1650
Sr Mg Au
4 6 8
Cartesian
3.1871 6.4032 7.4468
3.1871 1.8118 3.3643
3.1871 -1.8118 4.8007
3.1871 -6.4032 0.7182
0.0000 0.0000 4.0825
1.5936 3.5814 6.1238
1.5936 -3.5814 2.0413
3.1871 0.0000 0.0000
4.7807 3.5814 6.1238
4.7807 -3.5814 2.0413
3.1871 5.1376 4.3863
1.5936 0.8194 6.1238
1.5936 -0.8194 2.0413
3.1871 3.0775 0.3038
3.1871 -3.0775 7.8613
4.7807 0.8194 6.1238
4.7807 -0.8194 2.0413
3.1871 -5.1376 3.7787

CrHSe2 | the Alexandria database | PBE | optimized geometry; electronic total energy = -5.243 eV per atom
1.0
3.5515 0.0000 0.0000
0.0005 5.9208 0.0000
0.0109 1.8231 6.7560
Cr H Se
2 2 4
Cartesian
0.8933 2.0169 3.3095
2.6696 5.7270 3.4466
0.8909 4.5431 0.7398
2.6720 3.2008 6.0163
0.8931 6.3202 5.0215
0.8932 4.3989 2.2513
2.6697 3.3450 4.5047
2.6698 1.4237 1.7345

VBi2I | the Alexandria database | PBE | optimized geometry; uncorrected formation energy = 0.571 eV per atom
1.0
6.4034 0.0000 0.0000
0.0000 6.4034 0.0000
0.0000 0.0000 15.6779
V Bi I
4 8 4
Cartesian
0.0000 0.0000 0.0000
0.0000 3.2017 3.9195
3.2017 0.0000 11.7584
3.2017 3.2017 7.8389
0.8492 1.6008 1.9597
1.6008 4.0509 5.8792
1.6008 5.5542 13.7181
2.3525 1.6008 9.7987
4.0509 4.8025 9.7987
4.8025 0.8492 13.7181
4.8025 2.3525 5.8792
5.5542 4.8025 1.9597
0.0000 0.0000 7.8389
0.0000 3.2017 11.7584
3.2017 0.0000 3.9195
3.2017 3.2017 0.0000

RbPdI | the Alexandria database | PBE | optimized geometry; uncorrected formation energy = -0.594 eV per atom
1.0
4.7324 0.0000 0.0000
-2.3662 4.0984 0.0000
0.0000 0.0000 10.3167
Rb Pd I
2 2 2
Cartesian
0.0000 0.0000 0.0000
0.0000 0.0000 5.1583
0.0000 2.7323 2.5792
2.3662 1.3661 7.7375
0.0000 2.7323 7.7375
2.3662 1.3661 2.5792

CsLi2I | the Alexandria database | PBE | optimized geometry; uncorrected formation energy = -0.103 eV per atom
1.0
8.5357 0.0000 0.0000
0.0000 8.5357 0.0000
0.0000 0.0000 8.5357
Cs Li I
4 8 4
Cartesian
0.0000 0.0000 0.0000
0.0000 4.2679 4.2679
4.2679 0.0000 4.2679
4.2679 4.2679 0.0000
2.1339 2.1339 2.1339
2.1339 2.1339 6.4018
2.1339 6.4018 2.1339
2.1339 6.4018 6.4018
6.4018 2.1339 2.1339
6.4018 2.1339 6.4018
6.4018 6.4018 2.1339
6.4018 6.4018 6.4018
0.0000 0.0000 4.2679
0.0000 4.2679 0.0000
4.2679 0.0000 0.0000
4.2679 4.2679 4.2679

Number 1: magnetic moment 0.80 μB per cell. Number 2: magnetic moment 0.00 μB per cell. Number 3: magnetic moment 2.00 μB per cell. Number 4: magnetic moment 6.70 μB per cell. Number 5: magnetic moment 0.00 μB per cell. Number 6: magnetic moment 5.04 μB per cell.